Entry 1:
Below is a relaxed structure of Sb2Rh2Au, with properties calculated at the PBE level.

```
Sb2Rh2Au
1.0
7.4087 0.0000 0.0000
0.0000 7.4087 0.0000
0.0000 0.0000 3.4038
Rh Sb Au
4 4 2
Cartesian
1.0349 2.6695 0.0000 Rh
2.6695 6.3739 0.0000 Rh
4.7392 1.0349 0.0000 Rh
6.3739 4.7392 0.0000 Rh
2.5388 1.1655 1.7019 Sb
4.8699 6.2432 1.7019 Sb
1.1655 4.8699 1.7019 Sb
6.2432 2.5388 1.7019 Sb
3.7044 3.7044 0.0000 Au
0.0000 0.0000 0.0000 Au
```

Results
- Energy above the most stable polymorph in this dataset: 0 meV per atom
- Spin magnetization: 0.00 Bohr magnetons per cell

=====

Entry 2:
Below is a relaxed structure of PmSm3Y2P6, with properties calculated at the PBE level.

```
PmSm3Y2P6
1.0
-1.9967 -5.2244 4.3221
-1.9709 -0.0815 -6.7876
6.8380 -1.6325 -0.7398
P Y Sm Pm
6 2 3 1
Cartesian
0.6988 -0.8679 -2.6727 P
0.6901 -2.6006 1.0703 P
4.1413 -2.5818 -1.1855 P
2.1716 -6.0706 -0.5326 P
-1.2709 -4.3567 -2.0198 P
2.1803 -4.3379 -4.2756 P
-1.9881 -3.5112 0.6211 Y
-1.9795 -1.7948 -3.0866 Y
1.4266 -5.1868 2.1076 Sm
1.4439 -1.7517 -5.3130 Sm
1.4352 -3.4693 -1.6027 Sm
0.0000 0.0000 0.0000 Pm
```

Results
- Energy of formation: -1.5857 eV per atom
- Spin magnetization: 0.00 Bohr magnetons per cell

=====

Entry 3:
Below is a relaxed structure of KHgMoCl6, with properties calculated at the PBE level.

```
KHgMoCl6
1.0
7.7231 0.0000 0.0000
-3.8615 6.6884 0.0000
0.0000 0.0000 11.6456
Cl Mo K Hg
12 2 2 2
Cartesian
4.8876 3.8575 4.2861 Cl
-1.0261 2.8309 7.3595 Cl
2.9647 0.5269 1.5367 Cl
2.8355 3.8575 1.5367 Cl
1.0260 2.8309 10.1088 Cl
1.9386 2.3040 4.2861 Cl
4.7584 0.5269 4.2861 Cl
1.9229 4.3843 7.3595 Cl
-1.9229 4.3843 10.1088 Cl
5.7845 2.3040 1.5367 Cl
0.8969 6.1615 10.1088 Cl
-0.8969 6.1615 7.3595 Cl
0.0000 4.4589 8.7342 Mo
3.8615 2.2295 2.9114 Mo
0.0000 4.4589 2.9114 K
3.8615 2.2295 8.7342 K
0.0000 0.0000 0.0000 Hg
0.0000 0.0000 5.8228 Hg
```

Results
- Total DFT energy (no corrections): -3.558 eV/atom
- Spin magnetization: 1.99 Bohr magnetons per cell

=====

Entry 4:
Below is a relaxed structure of ZnIn2Ru, with properties calculated at the PBE level.

```
ZnIn2Ru
1.0
7.6114 0.0000 0.0000
0.0000 7.6114 0.0000
3.8057 3.8057 2.8076
In Zn Ru
4 2 2
Cartesian
5.8438 1.9029 0.7019 In
1.7676 5.7086 0.7019 In
9.5143 9.6496 2.1057 In
5.7086 5.5733 2.1057 In
3.8057 3.8057 0.0000 Zn
3.8057 7.6114 1.4038 Zn
7.6114 3.8057 1.4038 Ru
0.0000 0.0000 0.0000 Ru
```

Results
- Energy of formation: 0.4484 eV per atom
- Spin magnetization: 0.00 Bohr magnetons per cell

=====

Entry 5:
Below is a relaxed structure of PmNd2Hg2, with properties calculated at the PBE level.

```
PmNd2Hg2
1.0
-0.5153 4.1886 2.5226
-3.8144 3.9693 -2.5786
-5.0079 0.1974 3.4404
Nd Pm Hg
2 1 2
Cartesian
-6.5287 6.2677 2.6332 Nd
-2.8089 2.0876 0.7512 Nd
0.0000 0.0000 0.0000 Pm
-4.4132 4.9857 0.4028 Hg
-4.9245 3.3697 2.9816 Hg
```

Results
- Energy of formation: -0.3188 eV per atom
- Energy above the most stable polymorph in this dataset: 56 meV per atom
- Spin magnetization: 0.00 Bohr magnetons per cell

=====

Entry 6:
Below is a relaxed structure of NdSc3Pb2, with properties calculated at the PBE level.

```
NdSc3Pb2
1.0
4.5769 0.0000 0.0000
-2.2884 9.2754 -0.3333
0.0000 -4.5174 8.0461
Nd Sc Pb
2 6 4
Cartesian
2.2884 2.7453 7.1126 Nd
0.0000 2.0127 0.6002 Nd
0.0000 -0.8187 3.2245 Sc
0.0000 6.0698 2.2476 Sc
2.2884 -1.3117 5.4652 Sc
2.2884 1.3999 3.6935 Sc
0.0000 3.3581 4.0193 Sc
2.2884 5.5767 4.4883 Sc
2.2884 -0.4887 1.3961 Pb
0.0000 5.2468 6.3167 Pb
2.2884 4.0608 1.8220 Pb
0.0000 0.6973 5.8908 Pb
```

Results
- Energy of formation: -0.3053 eV per atom
- Spin magnetization: 1.37 Bohr magnetons per cell

=====

Entry 7:
Below is a relaxed structure of Li6Ag3Pd, with properties calculated at the PBE level.

```
Li6Ag3Pd
1.0
-0.9035 -0.5813 4.9434
6.1910 -1.2192 -0.7374
-1.5386 6.0255 -1.2984
Li Ag Pd
6 3 1
Cartesian
2.8205 3.1825 2.2371 Li
-1.1613 3.7311 0.1512 Li
-0.3857 1.4744 -0.2754 Li
1.1767 1.4127 2.0316 Li
3.7729 -0.8935 0.5093 Li
1.5122 -0.3045 -0.1376 Li
2.4162 -0.9545 2.7615 Ag
2.2746 2.4020 -0.3210 Ag
-1.3118 2.5396 2.4910 Ag
-0.4647 -0.2990 2.5427 Pd
```

Results
- Energy of formation: -0.0783 eV per atom
- Energy above the most stable polymorph in this dataset: 70 meV per atom
- Spin magnetization: 0.00 Bohr magnetons per cell

=====

Entry 8:
Below is a relaxed structure of La2Dy3Tm9, with properties calculated at the PBE level.

```
La2Dy3Tm9
1.0
-3.7738 -4.9088 -0.1203
3.5920 -12.2468 -3.9972
2.5751 -9.1964 4.0858
La Tm Dy
2 9 3
Cartesian
0.6534 -12.6148 1.5316 La
1.7766 -13.7040 -1.5810 La
-1.5012 -12.4999 -1.4087 Tm
-0.6227 -15.6174 -0.0069 Tm
1.4275 -19.2877 -1.7118 Tm
-1.0737 -6.7295 -1.2194 Tm
0.9413 -6.8671 1.6899 Tm
2.5221 -22.4801 -0.2975 Tm
3.6020 -19.6106 1.1911 Tm
-0.2653 -3.8799 0.3824 Tm
0.1997 -18.7108 1.4261 Tm
2.9849 -16.6549 -0.1761 Dy
-0.4599 -9.5893 0.3395 Dy
2.2866 -9.6023 3.5403 Dy
```

Results
- Energy of formation: 0.1235 eV per atom
- Spin magnetization: 0.00 Bohr magnetons per cell

=====

Question: spin magnetization of number 2 (PmSm3Y2P6)?
Answer: 0.00 Bohr magnetons per cell

=====

Question: spin magnetization of number 4 (ZnIn2Ru)?
Answer: 0.00 Bohr magnetons per cell

=====

Question: Which formula does entry 1 have?
Answer: Sb2Rh2Au